1.
First-principles (PBE) data for a relaxed Sr2LiAs2Pt crystal, as listed in OQMD.

Geometry as CIF:
```
data_Sr2LiAs2Pt
_chemical_formula_sum 'Sr2 Li1 As2 Pt1'
_cell_length_a 4.587
_cell_length_b 4.873
_cell_length_c 8.254
_cell_angle_alpha 90.00
_cell_angle_beta 90.00
_cell_angle_gamma 90.00
_symmetry_space_group_name_H-M 'P m m m'
_symmetry_Int_Tables_number 47
loop_
_symmetry_equiv_pos_as_xyz
'x,y,z'
'-x,-y,-z'
'-x,-y,z'
'x,y,-z'
'x,-y,-z'
'-x,y,z'
'-x,y,-z'
'x,-y,z'
loop_
_atom_site_label
_atom_site_type_symbol
_atom_site_fract_x
_atom_site_fract_y
_atom_site_fract_z
Sr1 Sr 0.000 0.000 0.249
Li1 Li 0.500 0.500 0.500
As1 As 0.000 0.500 0.000
As2 As 0.500 0.000 0.500
Pt1 Pt 0.500 0.500 0.000
```

Results
Magnetic moment (μB/cell): 0.0
Calculated density (g cm⁻³): 4.74
Energy (eV/atom): -4.185

***

2.
First-principles (PBE) data for a relaxed Cs2Sb2Pd3 crystal, as listed in OQMD.

Geometry as CIF:
```
data_Cs2Sb2Pd3
_chemical_formula_sum 'Cs6 Sb6 Pd9'
_cell_length_a 4.5773
_cell_length_b 4.5773
_cell_length_c 36.7164
_cell_angle_alpha 90.00
_cell_angle_beta 90.00
_cell_angle_gamma 120.00
_symmetry_space_group_name_H-M 'R 3 m'
_symmetry_Int_Tables_number 160
_symmetry_space_group_name_Hall 'R 3 -2"'
loop_
_atom_site_label
_atom_site_type_symbol
_atom_site_fract_x
_atom_site_fract_y
_atom_site_fract_z
Cs1 Cs 0.0000 0.0000 0.0000
Cs2 Cs 0.0000 0.0000 0.4946
Sb1 Sb 0.0000 0.0000 0.2464
Sb2 Sb 0.0000 0.0000 0.7459
Pd1 Pd 0.0000 0.0000 0.4036
Pd2 Pd 0.0000 0.0000 0.5909
Pd3 Pd 0.0000 0.0000 0.9008
```

Results
Calculated density (g cm⁻³): 6.20
Energy (eV/atom): -3.976

***

3.
First-principles (PBE) data for a relaxed HfTlCu3Te4 crystal, as listed in OQMD.

Geometry as CIF:
```
data_HfTlCu3Te4
_chemical_formula_sum 'Hf2 Tl2 Cu6 Te8'
_cell_length_a 6.159
_cell_length_b 8.134
_cell_length_c 10.371
_cell_angle_alpha 90.00
_cell_angle_beta 106.59
_cell_angle_gamma 90.00
_symmetry_space_group_name_H-M 'P 1 21/m 1'
_symmetry_Int_Tables_number 11
loop_
_symmetry_equiv_pos_as_xyz
'x,y,z'
'-x,-y,-z'
'-x,y+1/2,-z'
'x,-y+1/2,z'
loop_
_atom_site_label
_atom_site_type_symbol
_atom_site_fract_x
_atom_site_fract_y
_atom_site_fract_z
Hf1 Hf 0.144 0.250 0.288
Tl1 Tl 0.183 0.250 0.902
Cu1 Cu 0.290 0.513 0.498
Cu2 Cu 0.339 0.750 0.687
Te1 Te 0.034 0.250 0.530
Te2 Te 0.234 0.750 0.921
Te3 Te 0.398 0.521 0.269
```

Results
Magnetic moment (μB/cell): 0.0
Excess energy over the best structure of this formula in the dataset (eV per formula unit): 0.000
Calculated density (g cm⁻³): 7.23

***

4.
First-principles (PBE) data for a relaxed GdErPt crystal, as listed in OQMD.

Geometry as CIF:
```
data_GdErPt
_chemical_formula_sum 'Gd4 Er4 Pt4'
_cell_length_a 7.129
_cell_length_b 4.759
_cell_length_c 8.797
_cell_angle_alpha 90.00
_cell_angle_beta 90.00
_cell_angle_gamma 90.00
_symmetry_space_group_name_H-M 'P n m a'
_symmetry_Int_Tables_number 62
loop_
_symmetry_equiv_pos_as_xyz
'x,y,z'
'-x,-y,-z'
'-x+1/2,-y,z+1/2'
'x+1/2,y,-z+1/2'
'x+1/2,-y+1/2,-z+1/2'
'-x+1/2,y+1/2,z+1/2'
'-x,y+1/2,-z'
'x,-y+1/2,z'
loop_
_atom_site_label
_atom_site_type_symbol
_atom_site_fract_x
_atom_site_fract_y
_atom_site_fract_z
Gd1 Gd 0.146 0.250 0.082
Er1 Er 0.010 0.250 0.667
Pt1 Pt 0.237 0.250 0.406
```

Results
Magnetic moment (μB/cell): 0.0
Excess energy over the best structure of this formula in the dataset (eV per formula unit): 0.074
Calculated density (g cm⁻³): 11.56
DFT formation energy (meV per atom): -932.1

***

5.
First-principles (PBE) data for a relaxed NaZrTcTe crystal, as listed in OQMD.

Geometry as CIF:
```
data_NaZrTcTe
_chemical_formula_sum 'Na4 Zr4 Tc4 Te4'
_cell_length_a 6.661
_cell_length_b 6.661
_cell_length_c 6.661
_cell_angle_alpha 90.00
_cell_angle_beta 90.00
_cell_angle_gamma 90.00
_symmetry_space_group_name_H-M 'F -4 3 m'
_symmetry_Int_Tables_number 216
_symmetry_space_group_name_Hall 'F -4 2 3'
loop_
_atom_site_label
_atom_site_type_symbol
_atom_site_fract_x
_atom_site_fract_y
_atom_site_fract_z
Na1 Na 0.000 0.000 0.000
Zr1 Zr 0.250 0.250 0.750
Tc1 Tc 0.000 0.000 0.500
Te1 Te 0.250 0.250 0.250
```

Results
Magnetic moment (μB/cell): 0.0
Excess energy over the best structure of this formula in the dataset (eV per formula unit): 0.000
Calculated density (g cm⁻³): 7.64

***

6.
First-principles (PBE) data for a relaxed TaPb2Au2 crystal, as listed in OQMD.

Geometry as CIF:
```
data_TaPb2Au2
_chemical_formula_sum 'Ta2 Pb4 Au4'
_cell_length_a 4.284
_cell_length_b 4.284
_cell_length_c 13.085
_cell_angle_alpha 90.00
_cell_angle_beta 90.00
_cell_angle_gamma 90.00
_symmetry_space_group_name_H-M 'I 4/m m m'
_symmetry_Int_Tables_number 139
_symmetry_space_group_name_Hall '-I 4 2'
loop_
_atom_site_label
_atom_site_type_symbol
_atom_site_fract_x
_atom_site_fract_y
_atom_site_fract_z
Ta1 Ta 0.000 0.000 0.000
Pb1 Pb 0.000 0.500 0.250
Au1 Au 0.000 0.000 0.402
```

Results
Magnetic moment (μB/cell): 4.3
Excess energy over the best structure of this formula in the dataset (eV per formula unit): 0.903
Calculated density (g cm⁻³): 13.68

***

7.
First-principles (PBE) data for a relaxed Ba2ReHg crystal, as listed in OQMD.

Geometry as CIF:
```
data_Ba2ReHg
_chemical_formula_sum 'Ba8 Re4 Hg4'
_cell_length_a 7.706
_cell_length_b 7.706
_cell_length_c 7.706
_cell_angle_alpha 90.00
_cell_angle_beta 90.00
_cell_angle_gamma 90.00
_symmetry_space_group_name_H-M 'F -4 3 m'
_symmetry_Int_Tables_number 216
_symmetry_space_group_name_Hall 'F -4 2 3'
loop_
_atom_site_label
_atom_site_type_symbol
_atom_site_fract_x
_atom_site_fract_y
_atom_site_fract_z
Ba1 Ba 0.000 0.000 0.000
Ba2 Ba 0.250 0.250 0.250
Re1 Re 0.000 0.000 0.500
Hg1 Hg 0.250 0.250 0.750
```

Results
Magnetic moment (μB/cell): 8.5
Calculated density (g cm⁻³): 9.60
Energy (eV/atom): -3.240

***

8.
First-principles (PBE) data for a relaxed Pr2CdSb4Pd crystal, as listed in OQMD.

Geometry as CIF:
```
data_Pr2CdSb4Pd
_chemical_formula_sum 'Pr2 Cd1 Sb4 Pd1'
_cell_length_a 4.408
_cell_length_b 4.408
_cell_length_c 10.670
_cell_angle_alpha 90.00
_cell_angle_beta 90.00
_cell_angle_gamma 90.00
_symmetry_space_group_name_H-M 'P -4 m 2'
_symmetry_Int_Tables_number 115
loop_
_symmetry_equiv_pos_as_xyz
'x,y,z'
'y,-x,-z'
'-x,-y,z'
'-y,x,-z'
'-x,y,z'
'-y,-x,-z'
'x,-y,z'
'y,x,-z'
loop_
_atom_site_label
_atom_site_type_symbol
_atom_site_fract_x
_atom_site_fract_y
_atom_site_fract_z
Pr1 Pr 0.000 0.500 0.238
Cd1 Cd 0.500 0.500 0.500
Sb1 Sb 0.000 0.000 0.000
Sb2 Sb 0.000 0.500 0.677
Sb3 Sb 0.500 0.500 0.000
Pd1 Pd 0.000 0.000 0.500
```

Results
Magnetic moment (μB/cell): 0.0
Calculated density (g cm⁻³): 7.91
Energy (eV/atom): -4.782

***

9.
First-principles (PBE) data for a relaxed Rb2TeMoN4 crystal, as listed in OQMD.

Geometry as CIF:
```
data_Rb2TeMoN4
_chemical_formula_sum 'Rb4 Te2 Mo2 N8'
_cell_length_a 6.208
_cell_length_b 6.208
_cell_length_c 8.251
_cell_angle_alpha 90.00
_cell_angle_beta 90.00
_cell_angle_gamma 90.00
_symmetry_space_group_name_H-M 'I -4'
_symmetry_Int_Tables_number 82
loop_
_symmetry_equiv_pos_as_xyz
'x,y,z'
'y,-x,-z'
'-x,-y,z'
'-y,x,-z'
'x+1/2,y+1/2,z+1/2'
'y+1/2,-x+1/2,-z+1/2'
'-x+1/2,-y+1/2,z+1/2'
'-y+1/2,x+1/2,-z+1/2'
loop_
_atom_site_label
_atom_site_type_symbol
_atom_site_fract_x
_atom_site_fract_y
_atom_site_fract_z
Rb1 Rb 0.000 0.000 0.000
Rb2 Rb 0.000 0.500 0.250
Te1 Te 0.000 0.500 0.750
Mo1 Mo 0.000 0.000 0.500
N1 N 0.122 0.221 0.627
```

Results
Magnetic moment (μB/cell): 0.0
Calculated density (g cm⁻³): 4.70
Energy (eV/atom): -6.069

***

10.
First-principles (PBE) data for a relaxed LiTbCdSe3 crystal, as listed in OQMD.

Geometry as CIF:
```
data_LiTbCdSe3
_chemical_formula_sum 'Li4 Tb4 Cd4 Se12'
_cell_length_a 4.098
_cell_length_b 13.190
_cell_length_c 11.152
_cell_angle_alpha 90.00
_cell_angle_beta 90.00
_cell_angle_gamma 90.00
_symmetry_space_group_name_H-M 'C m c m'
_symmetry_Int_Tables_number 63
_symmetry_space_group_name_Hall '-C 2c 2'
loop_
_atom_site_label
_atom_site_type_symbol
_atom_site_fract_x
_atom_site_fract_y
_atom_site_fract_z
Li1 Li 0.000 0.231 0.250
Tb1 Tb 0.000 0.000 0.000
Cd1 Cd 0.000 0.477 0.750
Se1 Se 0.000 0.105 0.750
Se2 Se 0.000 0.356 0.565
```

Results
Magnetic moment (μB/cell): 0.0
Excess energy over the best structure of this formula in the dataset (eV per formula unit): 0.466
Calculated density (g cm⁻³): 5.68